[1]
# Ac2PrSi PBE-GGA optimized geometry
data_Ac2PrSi
_chemical_formula_sum 'Ac8 Pr4 Si4'
_symmetry_space_group_name_H-M 'F m -3 m'
_symmetry_Int_Tables_number 225
_symmetry_space_group_name_Hall '-F 4 2 3'
_cell_length_a 8.0872
_cell_length_b 8.0872
_cell_length_c 8.0872
_cell_angle_alpha 90.00
_cell_angle_beta 90.00
_cell_angle_gamma 90.00
loop_
_atom_site_label
_atom_site_type_symbol
_atom_site_fract_x
_atom_site_fract_y
_atom_site_fract_z
Ac1 Ac 0.2500 0.2500 0.2500
Pr1 Pr 0.0000 0.0000 0.0000
Si1 Si 0.0000 0.0000 0.5000
# Energy above the most stable polymorph in this dataset, meV per atom: 224
# Formation energy from raw total energies, eV/f.u.: 0.5

[2]
# DyHfZn PBE-GGA optimized geometry
data_DyHfZn
_chemical_formula_sum 'Dy2 Hf2 Zn2'
_symmetry_space_group_name_H-M 'I 4 m m'
_symmetry_Int_Tables_number 107
_symmetry_space_group_name_Hall 'I 4 -2'
_cell_length_a 3.3214
_cell_length_b 3.3214
_cell_length_c 12.1263
_cell_angle_alpha 90.00
_cell_angle_beta 90.00
_cell_angle_gamma 90.00
loop_
_atom_site_label
_atom_site_type_symbol
_atom_site_fract_x
_atom_site_fract_y
_atom_site_fract_z
Dy1 Dy 0.0000 0.0000 0.0000
Hf1 Hf 0.0000 0.0000 0.3117
Zn1 Zn 0.0000 0.0000 0.6727
# Energy above the most stable polymorph in this dataset, meV per atom: 0
# ΔH_f (0 K), eV/atom: -0.12

[3]
# Ce3Co2Ge4 PBE-GGA optimized geometry
data_Ce3Co2Ge4
_chemical_formula_sum 'Ce6 Co4 Ge8'
_symmetry_space_group_name_H-M 'C 1 2/m 1'
_symmetry_Int_Tables_number 12
_cell_length_a 10.7550
_cell_length_b 4.2344
_cell_length_c 8.0812
_cell_angle_alpha 90.00
_cell_angle_beta 101.78
_cell_angle_gamma 90.00
loop_
_symmetry_equiv_pos_as_xyz
'x,y,z'
'-x,-y,-z'
'-x,y,-z'
'x,-y,z'
'x+1/2,y+1/2,z'
'-x+1/2,-y+1/2,-z'
'-x+1/2,y+1/2,-z'
'x+1/2,-y+1/2,z'
loop_
_atom_site_label
_atom_site_type_symbol
_atom_site_fract_x
_atom_site_fract_y
_atom_site_fract_z
Ce1 Ce 0.0000 0.0000 0.0000
Ce2 Ce 0.1564 0.5000 0.6581
Co1 Co 0.0872 0.5000 0.2694
Ge1 Ge 0.0684 0.0000 0.3859
Ge2 Ge 0.2251 0.5000 0.0797
# ΔH_f (0 K), eV/atom: -0.66

[4]
# SrCaPr2 PBE-GGA optimized geometry
data_SrCaPr2
_chemical_formula_sum 'Sr3 Ca3 Pr6'
_symmetry_space_group_name_H-M 'R -3 m'
_symmetry_Int_Tables_number 166
_symmetry_space_group_name_Hall '-R 3 2"'
_cell_length_a 3.7375
_cell_length_b 3.7375
_cell_length_c 40.8792
_cell_angle_alpha 90.00
_cell_angle_beta 90.00
_cell_angle_gamma 120.00
loop_
_atom_site_label
_atom_site_type_symbol
_atom_site_fract_x
_atom_site_fract_y
_atom_site_fract_z
Sr1 Sr 0.0000 0.0000 0.0000
Ca1 Ca 0.0000 0.0000 0.5000
Pr1 Pr 0.0000 0.0000 0.0898
# Energy above the most stable polymorph in this dataset, meV per atom: 114
# ΔH_f (0 K), eV/atom: 0.24

no.,energy (eV per cell)
1,-71.9
2,-32.4
3,-112.9
4,-36.9